## AlZn2Si (GGA-PBEsol)

Data for a geometry-optimized AlZn2Si structure. Values from VASP.

Summary:
- Energy relative to the elements, uncorrected: 0.154 eV per atom
- Total energy: -3.10 eV/atom

Geometry as Quantum ESPRESSO input:
```
&SYSTEM
  ibrav = 0, nat = 4, ntyp = 3
/
ATOMIC_SPECIES
Al 26.98 Al.upf
Zn 65.41 Zn.upf
Si 28.09 Si.upf
CELL_PARAMETERS angstrom
2.789 -0.004 0.000
-0.252 4.435 0.000
-1.269 -2.216 4.935
ATOMIC_POSITIONS crystal
Al 0.000 0.000 0.000
Zn 0.000 0.000 0.500
Zn 0.500 0.500 0.500
Si 0.500 0.500 0.000
```